Below is a relaxed structure of AcDySe3, with properties calculated at the GGA-PBE level.

Cell: 8.013 4.315 16.267 Å, 90.00 90.00 90.00°
Element x y z (fractional)
Ac: 0.139 0.250 0.198
Ac: 0.361 0.750 0.698
Ac: 0.639 0.250 0.302
Ac: 0.861 0.750 0.802
Dy: 0.222 0.750 0.457
Dy: 0.278 0.250 0.957
Dy: 0.722 0.750 0.043
Dy: 0.778 0.250 0.543
Se: 0.011 0.250 0.397
Se: 0.129 0.750 0.055
Se: 0.155 0.250 0.788
Se: 0.345 0.750 0.288
Se: 0.371 0.250 0.555
Se: 0.489 0.750 0.897
Se: 0.511 0.250 0.103
Se: 0.629 0.750 0.445
Se: 0.655 0.250 0.712
Se: 0.845 0.750 0.212
Se: 0.871 0.250 0.945
Se: 0.989 0.750 0.603

Values from the calculation:
Its relative energy among the computed polymorphs is 0.00 eV/f.u. As for the total magnetization: 0.0 μB/f.u. As for the formation energy from raw total energies: -1.96 eV per atom.